A plane-wave DFT calculation with GGA-PBE was carried out for a relaxed structure of BaSbRhO6.

a b c (Å): 5.3458 5.3458 5.8403
angles (deg): 90.00 90.00 120.00
Space group P312 (No. 149)
Unique sites:
Ba (0.0000, 0.0000, 0.0000) x1
Sb (0.3333, 0.6667, 0.5000) x1
Rh (0.6667, 0.3333, 0.5000) x1
O (0.3880, 0.0046, 0.6936) x6

- D(E_F): 2.6 states/eV/f.u.
- Electronic total energy: -6.29 eV per atom